The following is a DFT calculation (GGA+U) of a relaxed structure of Co5Bi3O12.

Cell lengths 12.4889, 12.4889, 12.4889 Å; angles 90.00, 90.00, 90.00 degrees
With the nearest neighbours (Å) after each atom.
Space group Ia-3d (No. 230)
One atom of each set of equivalent atoms:
Co 0.0000 0.0000 0.0000 [16 per cell]  6 O 1.95
Co 0.0000 0.2500 0.3750 [24 per cell]  4 O 1.88
Bi 0.0000 0.2500 0.1250 [24 per cell]  8 O 2.41-2.54
O 0.0291 0.0498 0.6455 [96 per cell]  2 Co 1.88-1.95

calculated total energy: -0.4303 Ry per atom